Material: InMo2SF
Method: DFT, PBE+U
State: relaxed

abc: 4.6579 4.6579 4.9667
angles: 90.00 90.00 90.00
Space group P4/mmm (No. 123)
One atom of each set of equivalent atoms:
In (0.0000, 0.0000, 0.0000) (multiplicity 1)
Mo (0.0000, 0.5000, 0.5000) (multiplicity 2)
S (0.5000, 0.5000, 0.5000) (multiplicity 1)
F (0.5000, 0.5000, 0.0000) (multiplicity 1)

Properties
Its density of states at the Fermi level is 1.80 states/eV per cell. The calculation puts the density at 5.51 Mg/m³. For the volume, the calculation gives 21.55 Å³/atom. As for the final energy: -21.2 eV per cell.

Material: InSi2MoF
Method: DFT, PBE+U
State: relaxed

abc: 4.4369 4.4369 4.7857
angles: 90.00 90.00 90.00
Space group P4/mmm (No. 123)
One atom of each set of equivalent atoms:
In (0.0000, 0.0000, 0.0000) (multiplicity 1)
Si (0.0000, 0.5000, 0.5000) (multiplicity 2)
Mo (0.5000, 0.5000, 0.0000) (multiplicity 1)
F (0.0000, 0.0000, 0.5000) (multiplicity 1)

Properties
Its density of states at the Fermi level is 1.74 states/eV per cell. The calculation puts the density at 5.04 Mg/m³. For the volume, the calculation gives 18.84 Å³/atom. As for the final energy: -20.6 eV per cell.

What did the second record say?
Material: InSi2MoF
Method: DFT, PBE+U
State: relaxed

abc: 4.4369 4.4369 4.7857
angles: 90.00 90.00 90.00
Space group P4/mmm (No. 123)
One atom of each set of equivalent atoms:
In (0.0000, 0.0000, 0.0000) (multiplicity 1)
Si (0.0000, 0.5000, 0.5000) (multiplicity 2)
Mo (0.5000, 0.5000, 0.0000) (multiplicity 1)
F (0.0000, 0.0000, 0.5000) (multiplicity 1)

Properties
Its density of states at the Fermi level is 1.74 states/eV per cell. The calculation puts the density at 5.04 Mg/m³. For the volume, the calculation gives 18.84 Å³/atom. As for the final energy: -20.6 eV per cell.

Please write out number 1 again, unchanged.
Material: InMo2SF
Method: DFT, PBE+U
State: relaxed

abc: 4.6579 4.6579 4.9667
angles: 90.00 90.00 90.00
Space group P4/mmm (No. 123)
One atom of each set of equivalent atoms:
In (0.0000, 0.0000, 0.0000) (multiplicity 1)
Mo (0.0000, 0.5000, 0.5000) (multiplicity 2)
S (0.5000, 0.5000, 0.5000) (multiplicity 1)
F (0.5000, 0.5000, 0.0000) (multiplicity 1)

Properties
Its density of states at the Fermi level is 1.80 states/eV per cell. The calculation puts the density at 5.51 Mg/m³. For the volume, the calculation gives 21.55 Å³/atom. As for the final energy: -21.2 eV per cell.

> Which of these has the lowest final energy?

InMo2SF

> Which of these has the lowest volume?

InSi2MoF